No. 1
Material: Li2Mg3Zn2
Method: DFT, PBE
State: optimized geometry

Computed properties:
The value obtained for the total energy is -1.676 eV/atom. The calculation puts the volume at 18.41 Å³ per atom. The energy relative to the elements comes out at -0.6 eV/f.u. For the total magnetization, the calculation gives 0.0 μB per formula unit.

a = 2.9859 Å, b = 4.5770 Å, c = 9.8155 Å
α = 103.48°, β = 98.75°, γ = 90.00°
Atoms (fractional coordinates):
Li  0.4294  0.4294  0.8589
Li  0.5706  0.5706  0.1411
Mg  0.7956  0.2956  0.5912
Mg  0.2044  0.7044  0.4088
Mg  0.0000  0.0000  0.0000
Zn  0.6417  0.1417  0.2833
Zn  0.3583  0.8583  0.7167

***

No. 2
Material: Hg3S2I
Method: DFT, PBE
State: optimized geometry

Computed properties:
The value obtained for the total energy is -1.858 eV/atom. The calculation puts the volume at 32.67 Å³ per atom. Its uncorrected formation energy is -43 kJ/mol of formula units. For the total magnetization, the calculation gives 0.0 μB per formula unit.

a = 4.5912 Å, b = 6.3281 Å, c = 7.7967 Å
α = 113.94°, β = 107.12°, γ = 90.00°
Atoms (fractional coordinates):
Hg  0.0000  0.9088  0.0000
Hg  0.3068  0.3579  0.6136
Hg  0.6932  0.7443  0.3864
I  0.5000  0.2373  0.0000
S  0.1713  0.9187  0.3427
S  0.8287  0.5760  0.6573

***

No. 3
Material: Pm3Pr5Sn3
Method: DFT, PBE
State: optimized geometry

Computed properties:
The value obtained for the total energy is -4.455 eV/atom. The calculation puts the volume at 34.00 Å³ per atom. The energy relative to the elements comes out at 1.2 eV/f.u. For the total magnetization, the calculation gives 0.0 μB per formula unit.

a = 3.5403 Å, b = 11.0451 Å, c = 11.0451 Å
α = 120.00°, β = 90.00°, γ = 90.00°
Atoms (fractional coordinates):
Pr  0.5000  0.8246  0.0000
Pr  0.5000  0.0000  0.8246
Pr  0.5000  0.1754  0.1754
Pr  0.5000  0.3333  0.6667
Pr  0.5000  0.6667  0.3333
Sn  0.0000  0.6958  0.6958
Sn  0.0000  0.3042  0.0000
Sn  0.0000  0.0000  0.3042
Pm  0.5000  0.0000  0.5384
Pm  0.5000  0.4616  0.4616
Pm  0.5000  0.5384  0.0000

***

No. 4
Material: BaZr2CdB
Method: DFT, PBE
State: optimized geometry

Computed properties:
The value obtained for the total energy is -4.941 eV/atom. The calculation puts the volume at 23.26 Å³ per atom. The energy relative to the elements comes out at 1.9 eV/f.u. For the total magnetization, the calculation gives 0.0 μB per formula unit.

a = 4.9250 Å, b = 4.7945 Å, c = 4.9250 Å
α = 90.00°, β = 90.00°, γ = 90.00°
Atoms (fractional coordinates):
Cd  0.0000  0.5000  0.0000
Zr  0.5000  0.0000  0.0000
Zr  0.0000  0.0000  0.5000
B  0.0000  0.0000  0.0000
Ba  0.5000  0.5000  0.5000

***

No. 5
Material: Cs2RbSr2
Method: DFT, PBE
State: optimized geometry

Computed properties:
The value obtained for the total energy is -0.895 eV/atom. The calculation puts the volume at 87.87 Å³ per atom. The energy relative to the elements comes out at 1.6 eV/f.u. For the total magnetization, the calculation gives 0.0 μB per formula unit.

a = 6.2247 Å, b = 6.2247 Å, c = 12.1632 Å
α = 75.17°, β = 75.17°, γ = 90.00°
Atoms (fractional coordinates):
Sr  0.5903  0.5903  0.8194
Sr  0.4097  0.4097  0.1806
Rb  0.0000  0.0000  0.0000
Cs  0.7500  0.2500  0.5000
Cs  0.2500  0.7500  0.5000

***

No. 6
Material: PmTm2Mg6
Method: DFT, PBE
State: optimized geometry

Computed properties:
The value obtained for the total energy is -2.652 eV/atom. The calculation puts the volume at 26.02 Å³ per atom. The energy relative to the elements comes out at -0.6 eV/f.u. For the total magnetization, the calculation gives 0.0 μB per formula unit.

a = 3.2839 Å, b = 9.0739 Å, c = 9.0739 Å
α = 59.99°, β = 90.01°, γ = 90.01°
Atoms (fractional coordinates):
Mg  0.5008  0.3371  0.0000
Mg  0.5000  0.6629  0.3371
Mg  0.4992  0.0000  0.6629
Mg  0.5000  0.3371  0.6629
Mg  0.5008  0.0000  0.3371
Mg  0.4992  0.6629  0.0000
Pm  0.0000  0.0000  0.0000
Tm  0.0000  0.6667  0.6667
Tm  0.0000  0.3333  0.3333